DFT (meta-GGA SCAN) results for Nb2GaH2 at its PBEsol-relaxed geometry.

abc: 3.487 3.487 9.166
angles: 90.00 90.00 90.00
Atoms (fractional coordinates):
Nb  0.000  0.000  0.156
Nb  0.000  0.000  0.844
Nb  0.500  0.500  0.344
Nb  0.500  0.500  0.656
Ga  0.000  0.000  0.500
Ga  0.500  0.500  0.000
H  0.000  0.500  0.250
H  0.000  0.500  0.750
H  0.500  0.000  0.250
H  0.500  0.000  0.750

Results
- E_tot (eV/atom) = -18.146